Compound: Ti6VFe5
Source: Alexandria
Functional: PBE
Structure: optimized geometry

a b c (Å): 4.222 5.969 7.298
angles (deg): 114.14 106.81 90.00
Site moments in Bohr magnetons follow the coordinates.
Element x y z (fractional)
Ti1 0.169 0.916 0.338  -0.01
Ti2 0.169 0.422 0.338  -0.01
Ti3 0.500 0.256 0.000  0.01
Ti4 0.831 0.084 0.662  -0.01
Ti5 0.500 0.744 0.000  0.01
Ti6 0.831 0.578 0.662  -0.01
Fe1 0.667 0.667 0.335  0.03
Fe2 0.000 0.500 0.000  0.22
Fe3 0.666 0.166 0.332  0.17
Fe4 0.334 0.834 0.668  0.17
Fe5 0.333 0.333 0.665  0.03
V1 0.000 0.000 0.000  1.38

Summary:
Energy of formation (eV per formula unit): -3.71
Spin magnetization (μB per formula unit): 2.144
Space group: Immm (71)